[1]
4
Lattice="5.257 3.035 1.158 -5.257 3.035 1.158 0.000 -6.070 1.158" Properties=species:S:1:pos:R:3 comment="LiTl3 | Alexandria via LeMat-Bulk | PBE-GGA | optimized geometry" mass_density_g_cm3=9.3 final_energy_ev_per_atom=-2.2977 ef_ev_per_atom=-0.045 spacegroup="R-3m, No. 166" magnetic_moment_mub_per_atom=0.000 dos_ef_per_ev_cell=1.91 pbc="T T T"
Li 0.000 0.000 0.000
Tl -2.629 -1.518 1.158
Tl -2.629 1.518 2.316
Tl 0.000 3.035 1.158


[2]
29
Lattice="-5.987 5.987 5.987 5.987 -5.987 5.987 5.987 5.987 -5.987" Properties=species:S:1:pos:R:3 comment="Li5Tl24 | Alexandria via LeMat-Bulk | PBE-GGA | optimized geometry" mass_density_g_cm3=9.6 final_energy_ev_per_atom=-2.2911 ef_ev_per_atom=-0.003 spacegroup="I-43m, No. 217" magnetic_moment_mub_per_atom=0.000 dos_ef_per_ev_cell=11.03 pbc="T T T"
Li 0.000 0.000 0.000
Li 2.067 2.067 -2.067
Li 2.067 -2.067 2.067
Li -2.067 2.067 2.067
Li 3.920 3.920 3.920
Tl 5.428 1.697 -1.697
Tl 5.428 -1.697 1.697
Tl 8.615 1.084 -1.084
Tl 8.615 -1.084 1.084
Tl 3.359 1.084 1.084
Tl 4.903 4.903 -2.628
Tl 4.903 -2.628 4.903
Tl 6.546 1.697 1.697
Tl 1.697 5.428 -1.697
Tl 1.697 -1.697 5.428
Tl 1.084 3.359 1.084
Tl 1.084 1.084 3.359
Tl 4.290 4.290 0.559
Tl 4.290 0.559 4.290
Tl -1.697 5.428 1.697
Tl -1.697 1.697 5.428
Tl 1.084 8.615 -1.084
Tl 1.084 -1.084 8.615
Tl 1.697 6.546 1.697
Tl 1.697 1.697 6.546
Tl 0.559 4.290 4.290
Tl -1.084 8.615 1.084
Tl -1.084 1.084 8.615
Tl -2.628 4.903 4.903


[3]
4
Lattice="4.362 0.000 0.000 0.000 4.362 0.000 0.000 0.000 4.022" Properties=species:S:1:pos:R:3 comment="Li3Tl | Alexandria via LeMat-Bulk | PBE-GGA | optimized geometry" mass_density_g_cm3=4.9 final_energy_ev_per_atom=-2.2153 ef_ev_per_atom=-0.188 spacegroup="P4/mmm, No. 123" magnetic_moment_mub_per_atom=0.000 dos_ef_per_ev_cell=1.43 pbc="T T T"
Li 0.000 0.000 0.000
Li 0.000 2.181 2.011
Li 2.181 0.000 2.011
Tl 2.181 2.181 0.000


[4]
8
Lattice="3.377 -5.835 0.000 3.377 5.835 0.000 0.000 0.000 5.445" Properties=species:S:1:pos:R:3 comment="LiTl3 | Alexandria via LeMat-Bulk | PBE-GGA | optimized geometry" mass_density_g_cm3=9.6 final_energy_ev_per_atom=-2.3222 ef_ev_per_atom=-0.069 spacegroup="Cmcm, No. 63" magnetic_moment_mub_per_atom=0.000 dos_ef_per_ev_cell=2.67 pbc="T T T"
Li 3.377 3.894 4.084
Li 3.377 -3.894 1.361
Tl 1.656 0.994 4.084
Tl 1.656 -0.994 1.361
Tl 3.377 1.979 1.361
Tl 3.377 -1.979 4.084
Tl 5.098 0.994 4.084
Tl 5.098 -0.994 1.361


[5]
16
Lattice="8.452 0.000 0.000 0.000 8.753 0.000 0.000 0.000 5.721" Properties=species:S:1:pos:R:3 comment="LiTl3 | Alexandria via LeMat-Bulk | PBE-GGA | optimized geometry" mass_density_g_cm3=9.7 final_energy_ev_per_atom=-2.3247 ef_ev_per_atom=-0.072 spacegroup="Pnma, No. 62" magnetic_moment_mub_per_atom=0.000 dos_ef_per_ev_cell=6.15 pbc="T T T"
Li 1.041 2.188 0.498
Li 3.185 6.565 3.359
Li 5.267 2.188 2.362
Li 7.411 6.565 5.223
Tl 0.204 6.565 2.324
Tl 1.502 4.887 5.144
Tl 1.502 8.243 5.144
Tl 2.724 0.510 2.284
Tl 2.724 3.866 2.284
Tl 4.022 2.188 5.184
Tl 4.430 6.565 0.537
Tl 5.728 4.887 3.437
Tl 5.728 8.243 3.437
Tl 6.951 0.510 0.577
Tl 6.951 3.866 0.577
Tl 8.248 2.188 3.397


[6]
16
Lattice="6.780 0.000 0.000 -3.390 5.871 0.000 0.000 0.000 10.752" Properties=species:S:1:pos:R:3 comment="LiTl3 | Alexandria via LeMat-Bulk | PBE-GGA | optimized geometry" mass_density_g_cm3=9.6 final_energy_ev_per_atom=-2.3194 ef_ev_per_atom=-0.066 spacegroup="P6_3/mmc, No. 194" magnetic_moment_mub_per_atom=0.000 dos_ef_per_ev_cell=7.58 pbc="T T T"
Li 0.000 0.000 0.000
Li 0.000 0.000 5.376
Li 0.000 3.914 2.688
Li 3.390 1.957 8.064
Tl -1.695 2.936 0.000
Tl -1.695 2.936 5.376
Tl 0.000 1.911 8.064
Tl -1.735 4.916 8.064
Tl 1.655 0.955 2.688
Tl 3.390 0.000 0.000
Tl 3.390 0.000 5.376
Tl 1.695 2.936 0.000
Tl 1.695 2.936 5.376
Tl 1.735 4.916 8.064
Tl 5.125 0.955 2.688
Tl 3.390 3.961 2.688


[7]
4
Lattice="3.634 0.000 0.000 0.000 5.139 0.000 0.000 0.000 5.826" Properties=species:S:1:pos:R:3 comment="LiTl3 | Alexandria via LeMat-Bulk | PBE-GGA | optimized geometry" mass_density_g_cm3=9.5 final_energy_ev_per_atom=-2.3130 ef_ev_per_atom=-0.060 spacegroup="Pmm2, No. 25" magnetic_moment_mub_per_atom=0.000 dos_ef_per_ev_cell=1.57 pbc="T T T"
Li 0.000 0.000 0.000
Tl 0.000 2.570 1.957
Tl 1.817 0.000 2.950
Tl 1.817 2.570 4.993


[8]
4
Lattice="3.043 0.000 0.000 0.000 4.800 0.000 -0.928 0.000 5.434" Properties=species:S:1:pos:R:3 comment="Li3Tl | Alexandria via LeMat-Bulk | PBE-GGA | optimized geometry" mass_density_g_cm3=4.7 final_energy_ev_per_atom=-2.1798 ef_ev_per_atom=-0.153 spacegroup="P2/m, No. 10" magnetic_moment_mub_per_atom=0.000 dos_ef_per_ev_cell=1.23 pbc="T T T"
Li 0.000 0.000 0.000
Li -0.003 2.400 4.035
Li 2.117 2.400 1.398
Tl 1.057 0.000 2.717